Record 1
This record from the Alexandria database describes a relaxed structure of Ac4Pr2Sb3N2. The functional is PBE.

Output
For the volume, the calculation gives 31.32 A^3/atom. For the formation energy without anion corrections, the calculation gives -98.3 kJ/mol of atoms. The calculation puts the total moment at 0.00 μB per cell. The calculation puts the mass density at 7.630 g/cm3.

a b c (Å): 5.047 5.047 13.990
angles (deg): 100.39 100.39 90.00
Atoms (fractional coordinates):
Ac (0.416, 0.916, 0.831)
Ac (0.916, 0.416, 0.831)
Ac (0.584, 0.084, 0.169)
Ac (0.084, 0.584, 0.169)
Sb (0.000, 0.000, 0.000)
Sb (0.820, 0.820, 0.639)
Sb (0.180, 0.180, 0.361)
Pr (0.305, 0.305, 0.610)
Pr (0.695, 0.695, 0.390)
N (0.610, 0.610, 0.220)
N (0.390, 0.390, 0.780)



Record 2
This record from the Alexandria database describes a relaxed structure of CaNdLu4. The functional is PBE.

Output
For the volume, the calculation gives 33.72 A^3/atom. As for the energy of formation from the pure elements: 0.236 eV per atom. The calculation puts the total moment at 0.34 μB per cell. The calculation puts the mass density at 7.256 g/cm3.

a b c (Å): 6.590 6.590 6.590
angles (deg): 60.00 60.00 60.00
Each line ends with the local moment (μB).
Atoms (fractional coordinates):
Nd (0.250, 0.250, 0.250)  -0.08
Lu (0.128, 0.624, 0.624)  -0.03
Lu (0.624, 0.624, 0.624)  -0.03
Lu (0.624, 0.624, 0.128)  -0.03
Lu (0.624, 0.128, 0.624)  -0.03
Ca (0.000, 0.000, 0.000)  0.01



Record 3
This record from the Alexandria database describes a relaxed structure of Dy2HoTl2. The functional is PBE.

Output
For the volume, the calculation gives 28.19 A^3/atom. As for the energy of formation from the pure elements: -0.276 eV per atom. The calculation puts the total moment at 0.00 μB per cell. The calculation puts the mass density at 10.588 g/cm3.

a b c (Å): 3.753 5.367 14.121
angles (deg): 90.00 97.66 90.00
Atoms (fractional coordinates):
Tl (0.644, 0.750, 0.289)
Tl (0.450, 0.750, 0.901)
Tl (0.550, 0.250, 0.099)
Tl (0.356, 0.250, 0.711)
Dy (0.951, 0.250, 0.902)
Dy (0.762, 0.250, 0.524)
Dy (0.238, 0.750, 0.476)
Dy (0.049, 0.750, 0.098)
Ho (0.851, 0.750, 0.700)
Ho (0.149, 0.250, 0.300)



Record 4
This record from the Alexandria database describes a relaxed structure of CaSi2Bi2Pt7. The functional is PBE.

Output
For the volume, the calculation gives 20.22 A^3/atom. For the formation energy without anion corrections, the calculation gives -50.2 kJ/mol of atoms. The calculation puts the total moment at 0.00 μB per cell. The calculation puts the mass density at 12.866 g/cm3.

a b c (Å): 4.005 4.005 15.388
angles (deg): 82.54 82.54 90.03
Atoms (fractional coordinates):
Pt (0.695, 0.695, 0.611)
Pt (0.573, 0.074, 0.853)
Pt (0.926, 0.427, 0.147)
Pt (0.500, 0.500, 0.000)
Pt (0.427, 0.926, 0.147)
Pt (0.305, 0.305, 0.389)
Pt (0.074, 0.573, 0.853)
Ca (0.000, 0.000, 0.000)
Si (0.383, 0.383, 0.234)
Si (0.617, 0.617, 0.766)
Bi (0.210, 0.210, 0.580)
Bi (0.790, 0.790, 0.420)



Record 5
This record from the Alexandria database describes a relaxed structure of BeTlBr2. The functional is PBE.

Output
For the volume, the calculation gives 29.40 A^3/atom. For the formation energy without anion corrections, the calculation gives 16.5 kJ/mol of atoms. The calculation puts the total moment at 0.00 μB per cell. The calculation puts the mass density at 5.270 g/cm3.

a b c (Å): 7.727 5.585 3.950
angles (deg): 77.75 78.20 128.27
Atoms (fractional coordinates):
Be (0.500, 0.500, 0.000)
Br (0.000, 0.000, 0.000)
Br (0.500, 0.000, 0.500)
Tl (0.000, 0.500, 0.500)



Record 6
This record from the Alexandria database describes a relaxed structure of KTa2MoPd. The functional is PBE.

Output
For the volume, the calculation gives 24.39 A^3/atom. As for the energy of formation from the pure elements: 2.089 eV per atom. The calculation puts the total moment at 0.00 μB per cell. The calculation puts the mass density at 8.217 g/cm3.

a b c (Å): 4.901 5.077 4.901
angles (deg): 90.00 90.00 90.00
Atoms (fractional coordinates):
Ta (0.000, 0.000, 0.500)
Ta (0.500, 0.000, 0.000)
Mo (0.500, 0.500, 0.500)
K (0.000, 0.500, 0.000)
Pd (0.000, 0.000, 0.000)



Copy entry 1 word for word.
This record from the Alexandria database describes a relaxed structure of Ac4Pr2Sb3N2. The functional is PBE.

Output
For the volume, the calculation gives 31.32 A^3/atom. For the formation energy without anion corrections, the calculation gives -98.3 kJ/mol of atoms. The calculation puts the total moment at 0.00 μB per cell. The calculation puts the mass density at 7.630 g/cm3.

a b c (Å): 5.047 5.047 13.990
angles (deg): 100.39 100.39 90.00
Atoms (fractional coordinates):
Ac (0.416, 0.916, 0.831)
Ac (0.916, 0.416, 0.831)
Ac (0.584, 0.084, 0.169)
Ac (0.084, 0.584, 0.169)
Sb (0.000, 0.000, 0.000)
Sb (0.820, 0.820, 0.639)
Sb (0.180, 0.180, 0.361)
Pr (0.305, 0.305, 0.610)
Pr (0.695, 0.695, 0.390)
N (0.610, 0.610, 0.220)
N (0.390, 0.390, 0.780)



> Which formula does entry 1 have?

Ac4Pr2Sb3N2



Copy entry 2 word for word.
This record from the Alexandria database describes a relaxed structure of CaNdLu4. The functional is PBE.

Output
For the volume, the calculation gives 33.72 A^3/atom. As for the energy of formation from the pure elements: 0.236 eV per atom. The calculation puts the total moment at 0.34 μB per cell. The calculation puts the mass density at 7.256 g/cm3.

a b c (Å): 6.590 6.590 6.590
angles (deg): 60.00 60.00 60.00
Each line ends with the local moment (μB).
Atoms (fractional coordinates):
Nd (0.250, 0.250, 0.250)  -0.08
Lu (0.128, 0.624, 0.624)  -0.03
Lu (0.624, 0.624, 0.624)  -0.03
Lu (0.624, 0.624, 0.128)  -0.03
Lu (0.624, 0.128, 0.624)  -0.03
Ca (0.000, 0.000, 0.000)  0.01



> What is the total moment in the sixth record?

0.00 μB per cell